Entry 1:
A plane-wave DFT calculation with GGA-PBEsol was carried out for a geometry-optimized Cd2CoAg structure.

Calculated values
V = 65.3 Å³ per cell
Total DFT energy (no corrections) = -3.16 eV/atom
ΔH_f (0 K) = 202 meV per atom
Crystal system = orthorhombic

```
Cd2CoAg
1.0
2.9082 0.0000 0.0000
0.0000 4.8172 0.0980
0.0000 -1.3056 4.6379
Cd Ag Co
2 1 1
direct
0.0000 0.5000 0.0000
0.0000 0.0000 0.5000
0.5000 0.0000 0.0000
0.5000 0.5000 0.5000
```

---

Entry 2:
A plane-wave DFT calculation with GGA-PBEsol was carried out for a geometry-optimized ZnCd2Os structure.

Calculated values
V = 66.8 Å³ per cell
Total DFT energy (no corrections) = -3.68 eV/atom
ΔH_f (0 K) = 372 meV per atom
Crystal system = orthorhombic

```
ZnCd2Os
1.0
-2.5518 1.0322 -0.0019
-0.1219 -0.3086 -4.0126
-2.2526 -5.5676 0.4967
Os Cd Zn
1 2 1
direct
0.0000 0.0000 0.5295
0.0000 0.0000 0.9931
0.5000 0.5000 0.2661
0.5000 0.5000 0.7113
```

---

Entry 3:
A plane-wave DFT calculation with GGA-PBEsol was carried out for a geometry-optimized MgAl2Te structure.

Calculated values
V = 85.7 Å³ per cell
Formation energy (no corrections) = 0.145 eV per atom
Total DFT energy (no corrections) = -3.21 eV/atom
Crystal system = cubic

```
MgAl2Te
1.0
4.9491 0.0000 0.0000
2.4746 4.2861 0.0000
2.4746 1.4287 4.0409
Al Te Mg
2 1 1
direct
0.7500 0.7500 0.7500
0.0000 0.0000 0.0000
0.2500 0.2500 0.2500
0.5000 0.5000 0.5000
```

---

Entry 4:
A plane-wave DFT calculation with GGA-PBEsol was carried out for a geometry-optimized SbPb2Se structure.

Calculated values
V = 105.2 Å³ per cell
Formation energy (no corrections) = 0.065 eV per atom
Total DFT energy (no corrections) = -4.04 eV/atom
Crystal system = cubic

```
SbPb2Se
1.0
5.2985 0.0000 0.0000
2.6492 4.5886 0.0000
2.6492 1.5295 4.3262
Se Sb Pb
1 1 2
direct
0.2500 0.2500 0.2500
0.5000 0.5000 0.5000
0.7500 0.7500 0.7500
0.0000 0.0000 0.0000
```

---

Entry 5:
A plane-wave DFT calculation with GGA-PBEsol was carried out for a geometry-optimized EuGa3Ag structure.

Calculated values
V = 97.7 Å³ per cell
Total DFT energy (no corrections) = -5.24 eV/atom
ΔH_f (0 K) = -466 meV per atom
Crystal system = tetragonal

```
EuGa3Ag
1.0
-1.9094 -1.9479 3.2505
3.5581 -2.1738 0.7875
0.8421 5.9978 1.3192
Eu Ga Ag
1 3 1
direct
0.0000 0.0000 0.0000
0.2500 0.7500 0.5000
0.3872 0.3872 0.7744
0.6128 0.6128 0.2256
0.7500 0.2500 0.5000
```

---

Entry 6:
A plane-wave DFT calculation with GGA-PBEsol was carried out for a geometry-optimized Cu2As2Pd structure.

Calculated values
V = 78.0 Å³ per cell
Total DFT energy (no corrections) = -4.68 eV/atom
ΔH_f (0 K) = 293 meV per atom
Crystal system = tetragonal

```
Cu2As2Pd
1.0
-2.8892 -2.2681 0.6309
1.4083 -0.8648 3.3404
-2.1024 5.8281 0.3161
As Pd Cu
2 1 2
direct
0.2500 0.7500 0.5000
0.7500 0.2500 0.5000
0.0000 0.0000 0.0000
0.3983 0.3983 0.7966
0.6017 0.6017 0.2034
```

---

Entry 7:
A plane-wave DFT calculation with GGA-PBEsol was carried out for a geometry-optimized YSnP2O structure.

Calculated values
V = 99.6 Å³ per cell
Formation energy (no corrections) = -0.385 eV per atom
Total DFT energy (no corrections) = -5.97 eV/atom
Crystal system = tetragonal

```
YSnP2O
1.0
3.9832 0.0000 0.0000
0.0000 5.0002 0.0000
0.0000 0.0000 5.0002
Y P O Sn
1 2 1 1
direct
0.5000 0.5000 0.5000
0.0000 0.5000 0.0000
0.0000 0.0000 0.5000
0.5000 0.0000 0.0000
0.0000 0.0000 0.0000
```

---

Entry 8:
A plane-wave DFT calculation with GGA-PBEsol was carried out for a geometry-optimized La2ZrAl structure.

Calculated values
V = 106.7 Å³ per cell
Total DFT energy (no corrections) = -5.84 eV/atom
ΔH_f (0 K) = 125 meV per atom
Crystal system = trigonal

```
La2ZrAl
1.0
3.3668 0.0000 0.0000
1.6834 2.9157 0.0000
1.6834 0.9719 10.8648
Al La Zr
1 2 1
direct
0.0000 0.0000 0.0000
0.7490 0.7490 0.7531
0.2510 0.2510 0.2469
0.5000 0.5000 0.5000
```

---

Entry 9:
A plane-wave DFT calculation with GGA-PBEsol was carried out for a geometry-optimized SiMoRu structure.

Calculated values
V = 40.0 Å³ per cell
Formation energy (no corrections) = -0.432 eV per atom
Total DFT energy (no corrections) = -9.66 eV/atom
Crystal system = tetragonal

```
SiMoRu
1.0
2.8672 0.0000 0.0000
0.0000 2.8672 0.0000
-1.4336 -1.4336 4.8601
Si Ru Mo
1 1 1
direct
0.6765 0.6765 0.3529
0.3185 0.3185 0.6371
0.0050 0.0050 0.0100
```

---

Entry 10:
A plane-wave DFT calculation with GGA-PBEsol was carried out for a geometry-optimized CaBeAs2 structure.

Calculated values
V = 75.3 Å³ per cell
Total DFT energy (no corrections) = -4.35 eV/atom
ΔH_f (0 K) = -259 meV per atom
Crystal system = trigonal

```
CaBeAs2
1.0
4.1725 0.0000 0.0000
2.0863 3.6135 0.0000
2.0863 1.2045 4.9967
Be Ca As
1 1 2
direct
0.5000 0.5000 0.5000
0.0000 0.0000 0.0000
0.2136 0.2136 0.3591
0.7864 0.7864 0.6409
```

---

Entry 11:
A plane-wave DFT calculation with GGA-PBEsol was carried out for a geometry-optimized CrTcBr2 structure.

Calculated values
V = 65.4 Å³ per cell
Formation energy (no corrections) = 0.779 eV per atom
Total DFT energy (no corrections) = -5.53 eV/atom
Crystal system = tetragonal

```
CrTcBr2
1.0
3.2353 0.0000 0.0000
0.0000 4.4964 0.0000
0.0000 0.0000 4.4964
Br Cr Tc
2 1 1
direct
0.0000 0.0000 0.5000
0.0000 0.5000 0.0000
0.5000 0.5000 0.5000
0.5000 0.0000 0.0000
```

---

Entry 12:
A plane-wave DFT calculation with GGA-PBEsol was carried out for a geometry-optimized TaH2Pd2 structure.

Calculated values
V = 110.7 Å³ per cell
Total DFT energy (no corrections) = -6.28 eV/atom
Crystal system = tetragonal

```
TaH2Pd2
1.0
3.7461 0.0000 0.0000
0.0000 5.4348 0.0000
0.0000 0.0000 5.4348
Ta H Pd
2 4 4
direct
0.0000 0.0000 0.0000
0.0000 0.5000 0.5000
0.0000 0.3394 0.1606
0.0000 0.8394 0.3394
0.0000 0.6606 0.8394
0.0000 0.1606 0.6606
0.5000 0.3292 0.1708
0.5000 0.1708 0.6708
0.5000 0.8292 0.3292
0.5000 0.6708 0.8292
```

---

Entry 13:
A plane-wave DFT calculation with GGA-PBEsol was carried out for a geometry-optimized BaScO2F structure.

Calculated values
V = 71.5 Å³ per cell
Formation energy (no corrections) = -3.427 eV per atom
Total DFT energy (no corrections) = -7.66 eV/atom
Crystal system = tetragonal

```
BaScO2F
1.0
-1.4423 -2.4025 3.0655
-0.8355 -3.0020 -2.7458
3.7979 -1.5676 0.5583
Ba Sc O F
1 1 2 1
direct
0.5000 0.5000 0.5000
0.0000 0.0000 0.0000
0.5000 0.0000 0.0000
0.0000 0.5000 0.0000
0.0000 0.0000 0.5000
```

---

Entry 14:
A plane-wave DFT calculation with GGA-PBEsol was carried out for a geometry-optimized TlTePdI2 structure.

Calculated values
V = 157.3 Å³ per cell
Formation energy (no corrections) = -0.132 eV per atom
Total DFT energy (no corrections) = -3.26 eV/atom
Crystal system = tetragonal

```
TlTePdI2
1.0
5.2337 0.0000 0.0000
0.0000 5.4821 0.0000
0.0000 0.0000 5.4821
Pd I Tl Te
1 2 1 1
direct
0.0000 0.0000 0.0000
0.0000 0.0000 0.5000
0.0000 0.5000 0.0000
0.5000 0.5000 0.5000
0.5000 0.0000 0.0000
```